Record 1
VASP calculation (GGA-PBEsol) on a relaxed ZrW2O8 crystal.

The calculation puts the density of states at the Fermi level at 0.0 states/eV per cell. The value obtained for the volume is 17.78 Å³ per atom. The total energy comes out at -9.58 eV per atom.

The space group is P2_13 (No. 198) and the conventional cell measures 9.214, 9.214 and 9.214 Å, with angles of 90.00, 90.00 and 90.00 degrees. The asymmetric unit holds Zr at (0.002, 0.002, 0.002), W at (0.098, 0.902, 0.402), W at (0.157, 0.657, 0.843), O at (0.012, 0.512, 0.988), O at (0.054, 0.715, 0.434), O at (0.054, 0.796, 0.940) and O at (0.235, 0.235, 0.235).


Record 2
VASP calculation (GGA-PBEsol) on a relaxed YZrZn2O crystal.

The calculation puts the density of states at the Fermi level at 6.4 states/eV per cell. The value obtained for the volume is 18.06 Å³ per atom. The total energy comes out at -5.37 eV per atom.

The space group is P4/mmm (No. 123) and the conventional cell measures 4.611, 4.611 and 4.247 Å, with angles of 90.00, 90.00 and 90.00 degrees. The asymmetric unit holds Y at (0.000, 0.000, 0.000), Zr at (0.500, 0.500, 0.000), Zn at (0.000, 0.500, 0.500) and O at (0.000, 0.000, 0.500).


Record 3
VASP calculation (GGA-PBEsol) on a relaxed Y2Zr2O7 crystal.

The calculation puts the density of states at the Fermi level at 0.0 states/eV per cell. The value obtained for the volume is 12.90 Å³ per atom. The total energy comes out at -9.76 eV per atom.

The space group is Fd-3m (No. 227, origin choice 2) and the conventional cell measures 10.432, 10.432 and 10.432 Å, with angles of 90.00, 90.00 and 90.00 degrees. The asymmetric unit holds Y at (0.000, 0.000, 0.000), Zr at (0.000, 0.000, 0.500), O at (0.091, 0.375, 0.875) and O at (0.125, 0.125, 0.125).


Record 4
VASP calculation (GGA-PBEsol) on a relaxed Y2Zr2O7 crystal.

The calculation puts the density of states at the Fermi level at 0.0 states/eV per cell. The value obtained for the volume is 16.08 Å³ per atom. The total energy comes out at -9.69 eV per atom.

The space group is C2/m (No. 12) and the conventional cell measures 6.909, 9.372 and 5.540 Å, with angles of 90.00, 99.64 and 90.00 degrees. The asymmetric unit holds Y at (0.000, 0.191, 0.000), Zr at (0.242, 0.000, 0.599), O at (0.000, 0.500, 0.500), O at (0.057, 0.000, 0.267) and O at (0.233, 0.325, 0.201).